Crystalline AlHg2F at its relaxed geometry. Source: the Alexandria database, functional GGA-PBEsol.

The structure belongs to space group Fm-3m (No. 225); the cell edges are 6.619, 6.619 and 6.619 Å and the angles 90.00°, 90.00° and 90.00°. The inequivalent atoms are Al at (0.000, 0.000, 0.000), Hg at (0.250, 0.250, 0.250) and F at (0.000, 0.000, 0.500).

As for the raw formation energy: -1.77 eV/f.u. The calculated volume is 289.9 Å³/cell. Its total magnetization is 0.0 μB/f.u. The density of states at the Fermi level is 0.26 states/eV per atom.